VASP calculation (PBE+U) on an optimized crystal structure of CoBi2O.

Properties
energy	-4.2844	eV/atom
SG	I-42d
V	23.2	Å³/atom

a = 5.599 Å, b = 5.599 Å, c = 7.122 Å
α = 66.85°, β = 66.85°, γ = 90.00°
Site moments in Bohr magnetons follow the coordinates.
Atoms (fractional coordinates):
Bi1 0.147 0.625 0.250  -0.09
Bi2 0.875 0.853 0.750  -0.10
Bi3 0.375 0.397 0.750  -0.09
Bi4 0.603 0.125 0.250  -0.08
O1 0.500 0.500 0.000  -0.05
O2 0.250 0.750 0.500  -0.05
Co1 0.750 0.250 0.500  1.30
Co2 0.000 0.000 0.000  1.30